Cd9BiAu2: optimized geometry, PBE.

```
24
Lattice="-3.209 -5.136 0.492 0.712 -3.121 9.581 -9.451 2.550 2.496" Properties=species:S:1:pos:R:3 pbc="T T T"
Cd -6.776 -4.137 6.407
Cd 0.000 0.000 0.000
Cd -8.975 -5.945 11.436
Cd -4.639 -2.429 1.388
Cd -6.982 -2.545 3.651
Cd -5.028 -3.260 8.928
Cd -7.173 -5.337 9.337
Cd -4.714 -0.271 3.223
Cd -2.439 -2.841 9.998
Cd -7.843 -0.199 2.315
Cd -9.749 -3.900 7.540
Cd -2.138 -1.709 5.019
Cd -9.245 0.958 5.252
Cd -1.037 -3.998 7.061
Cd -11.552 -4.507 9.640
Cd -2.062 -3.866 3.184
Cd -3.626 -4.418 5.990
Cd -8.384 -1.388 6.588
Bi -1.604 -2.568 0.246
Bi -5.172 -1.569 6.162
Au -9.718 -3.361 4.697
Au -4.637 -6.197 8.240
Au -4.993 -4.637 3.450
Au -7.758 -2.354 9.242
```

Summary:
Energy   -1.579 eV per atom
Energy of formation from the pure elements   -0.0226 eV/atom
Spin magnetization   0.0 μB per cell